(1)
V2SiIrBr (GGA-PBE, relaxed); Fermi-level density of states = 6.4 states/eV per cell; formation energy from raw total energies = 1.239 eV/atom
1.0
-1.1530 0.9823 4.5219
-4.9043 -0.1289 -1.2224
-0.1222 -4.6650 0.9822
Si Ir Br V
1 1 1 2
Cartesian
-3.0897 -1.9058 2.1408
0.0000 0.0000 0.0000
-2.4521 -0.0645 -0.6112
-0.0611 -2.3325 0.4911
-0.5765 0.4911 2.2610

(2)
ZnSi2IrBr (GGA-PBE, relaxed); Fermi-level density of states = 4.8 states/eV per cell; formation energy from raw total energies = 1.373 eV/atom; energy relative to the lowest polymorph listed for this composition = 170 meV/atom
1.0
-3.2022 -0.2076 3.1781
1.9376 -4.2968 1.6717
2.6611 2.3017 2.8316
Zn Ir Si Br
1 1 2 1
Cartesian
0.0000 0.0000 0.0000
0.6983 -1.1013 3.8407
1.3306 1.1508 1.4158
-1.6011 -0.1038 1.5890
0.9688 -2.1484 0.8358

(3)
ZnSi2IrBr (GGA-PBE, relaxed); Fermi-level density of states = 6.8 states/eV per cell; formation energy from raw total energies = 1.203 eV/atom; energy relative to the lowest polymorph listed for this composition = 0 meV/atom
1.0
-1.7277 0.4444 -4.1922
-2.9601 -3.8549 0.8112
-3.2065 2.8028 1.6186
Zn Ir Si Br
1 1 2 1
Cartesian
0.0000 0.0000 0.0000
-1.4800 -1.9274 0.4056
-1.6032 1.4014 0.8093
-0.8638 0.2222 -2.0961
-3.9471 -0.3038 -0.8812

(4)
Sm2IrBr2 (GGA-PBE, relaxed); Fermi-level density of states = 2.6 states/eV per cell; formation energy from raw total energies = -1.247 eV/atom
1.0
-3.4559 -1.0885 -1.8701
-2.4743 -2.7441 1.7245
-7.2883 6.7454 5.0971
Sm Ir Br
2 1 2
Cartesian
-8.4731 4.2716 4.2813
-4.7454 -1.3588 0.6701
0.0000 0.0000 0.0000
-7.6741 -1.1986 1.5437
-5.5444 4.1114 3.4077